*a*
This record from Alexandria via LeMat-Bulk describes crystalline La8Nd6Dy at its relaxed geometry. The functional is PBE.

Unit cell a=9.9866 b=9.9866 c=18.6519 alpha=90.00 beta=90.00 gamma=120.00
Closest atoms and distances in Å follow each position.
Space group R-3 (No. 148, hexagonal axes)
Inequivalent atoms, fractional coordinates:
La 0.0000 0.0000 0.2353 x6  6 La 3.47-3.65, 3 Nd 3.87
La 0.0463 0.7664 0.9021 x18  1 Dy 3.17, 2 La 3.31-3.47, 2 Nd 3.52-3.53
Nd 0.0239 0.7884 0.4071 x18  7 La 3.52-3.91, 3 Nd 3.74-3.88
Dy 0.0000 0.0000 0.0000 x3  6 La 3.17

Summary:
- D(E_F) (states/eV/f.u.) = 24.06

***

*b*
This record from Alexandria via LeMat-Bulk describes crystalline La8Nd6Dy at its relaxed geometry. The functional is PBE.

Unit cell a=10.0779 b=10.0779 c=18.4243 alpha=90.00 beta=90.00 gamma=120.00
Closest atoms and distances in Å follow each position.
Space group R-3 (No. 148, hexagonal axes)
Inequivalent atoms, fractional coordinates:
La 0.0000 0.0000 0.0857 x6  3 Nd 3.14, 1 La 3.16
La 0.0551 0.2378 0.6696 x18  5 Nd 3.48-3.89, 4 La 3.76-3.80, 1 Dy 3.81
Nd 0.0423 0.2839 0.1751 x18  2 La 3.14-3.48, 1 Dy 3.49, 2 Nd 3.50
Dy 0.0000 0.0000 0.5000 x3  6 Nd 3.49, 6 La 3.81

Summary:
- D(E_F) (states/eV/f.u.) = 25.54

***

What should be chosen as the least stable of them? Choose *b*.

***

*a*
This record from Alexandria via LeMat-Bulk describes crystalline La2NdDy5 at its relaxed geometry. The functional is PBE.

Unit cell a=7.2047 b=14.4230 c=5.1361 alpha=90.00 beta=90.00 gamma=90.00
Closest atoms and distances in Å follow each position.
Space group Pbam (No. 55)
Inequivalent atoms, fractional coordinates:
La 0.2459 0.1259 0.0000 x4  10 Dy 3.59-3.62, 2 Nd 3.64
Nd 0.0000 0.5000 0.5000 x2  8 Dy 3.60-3.62, 4 La 3.64
Dy 0.0000 0.0000 0.5000 x2  6 Dy 3.59-3.63, 2 Nd 3.60, 4 La 3.61
Dy 0.0048 0.7509 0.5000 x4  7 Dy 3.59-3.63, 4 La 3.61-3.62, 1 Nd 3.62
Dy 0.2460 0.3749 0.0000 x4  4 La 3.59-3.62, 2 Nd 3.60, 6 Dy 3.61-3.63

Summary:
- D(E_F) (states/eV/f.u.) = 12.72

***

*b*
This record from Alexandria via LeMat-Bulk describes crystalline La2NdDy5 at its relaxed geometry. The functional is PBE.

Unit cell a=3.5636 b=11.3007 c=13.3062 alpha=90.00 beta=90.00 gamma=90.00
Closest atoms and distances in Å follow each position.
Space group Immm (No. 71)
Inequivalent atoms, fractional coordinates:
La 0.0000 0.0000 0.2420 x4  7 Dy 3.37-3.61, 2 La 3.56, 2 Nd 3.68
Nd 0.0000 0.5000 0.5000 x2  2 Nd 3.56, 4 La 3.68, 8 Dy 3.91
Dy 0.0000 0.0000 0.5000 x2  2 La 3.43, 10 Dy 3.56-3.61
Dy 0.0000 0.2675 0.1295 x8  3 La 3.37-3.61, 7 Dy 3.45-3.69

Summary:
- D(E_F) (states/eV/f.u.) = 11.55

***

What should be chosen as the least stable of them? Choose *b*.

***

*a*
This record from Alexandria via LeMat-Bulk describes crystalline La12NdDy7 at its relaxed geometry. The functional is PBE.

Unit cell a=19.6212 b=19.6212 c=6.3863 alpha=90.00 beta=90.00 gamma=120.00
Closest atoms and distances in Å follow each position.
Space group R-3 (No. 148, hexagonal axes)
Inequivalent atoms, fractional coordinates:
La 0.0003 0.4078 0.0000 x18  3 La 3.30-3.62, 2 Dy 3.37
La 0.0963 0.5484 0.4792 x18  1 La 3.28, 4 Dy 3.35-3.66
Nd 0.0000 0.0000 0.5000 x3  8 Dy 3.10-3.19
Dy 0.0000 0.0000 0.0000 x3  2 Nd 3.19, 6 Dy 3.42
Dy 0.0835 0.1662 0.3014 x18  1 Nd 3.10, 3 La 3.35-3.37, 1 Dy 3.42

Summary:
- D(E_F) (states/eV/f.u.) = 27.03

***

*b*
This record from Alexandria via LeMat-Bulk describes crystalline La12NdDy7 at its relaxed geometry. The functional is PBE.

Unit cell a=13.6957 b=13.6957 c=12.9291 alpha=90.00 beta=90.00 gamma=120.00
Closest atoms and distances in Å follow each position.
Space group R-3m (No. 166, hexagonal axes)
Inequivalent atoms, fractional coordinates:
La 0.0000 0.2605 0.0000 x18  6 La 3.49-3.64, 5 Dy 3.57-3.66
La 0.0891 0.1782 0.7661 x18  6 La 3.49-3.66, 1 Dy 3.69
Nd 0.0000 0.0000 0.5000 x3  6 Dy 3.46
Dy 0.0000 0.0000 0.0000 x3  12 La 3.57-3.69
Dy 0.0465 0.5232 0.1173 x18  1 Dy 3.23, 1 Nd 3.46, 2 La 3.60

Summary:
- D(E_F) (states/eV/f.u.) = 34.14

***

What should be chosen as the least stable of them? Choose *a*.

***

*a*
This record from Alexandria via LeMat-Bulk describes crystalline La8Nd2Dy at its relaxed geometry. The functional is PBE.

Unit cell a=18.8551 b=5.2518 c=8.2793 alpha=90.00 beta=105.17 gamma=90.00
Closest atoms and distances in Å follow each position.
Space group C2/m (No. 12)
Inequivalent atoms, fractional coordinates:
La 0.0461 0.0000 0.2279 x4  1 Nd 3.67, 9 La 3.69-3.72, 2 Dy 3.71
La 0.0902 0.5000 0.9522 x4  1 Dy 3.68, 8 La 3.69-3.74, 3 Nd 3.71-3.72
La 0.1362 0.0000 0.6813 x4  7 La 3.68-3.73, 3 Nd 3.70-3.72, 2 Dy 3.70
La 0.1809 0.5000 0.4120 x4  1 Dy 3.67, 8 La 3.68-3.74, 3 Nd 3.69-3.73
Nd 0.2264 0.0000 0.1358 x4  10 La 3.67-3.73, 2 Nd 3.71
Dy 0.0000 0.5000 0.5000 x2  12 La 3.67-3.71

Summary:
- D(E_F) (states/eV/f.u.) = 19.81

***

*b*
This record from Alexandria via LeMat-Bulk describes crystalline La8Nd2Dy at its relaxed geometry. The functional is PBE.

Unit cell a=9.3103 b=16.9707 c=6.1140 alpha=90.00 beta=124.04 gamma=90.00
Closest atoms and distances in Å follow each position.
Space group C2/m (No. 12)
Inequivalent atoms, fractional coordinates:
La 0.0000 0.2046 0.0000 x4  1 Dy 3.47, 2 Nd 3.54, 6 La 3.77-3.78
La 0.0802 0.5000 0.7992 x4  3 La 3.08-3.30, 1 Dy 3.38
La 0.2138 0.1174 0.6829 x8  3 La 3.30-3.66, 2 Nd 3.64-3.65
Nd 0.0000 0.3094 0.5000 x4  10 La 3.54-3.89
Dy 0.0000 0.0000 0.0000 x2  4 La 3.38-3.47

Summary:
- D(E_F) (states/eV/f.u.) = 15.40

***

What should be chosen as the least stable of them? Choose *b*.

***

*a*
This record from Alexandria via LeMat-Bulk describes crystalline La3Nd4Dy2 at its relaxed geometry. The functional is PBE.

Unit cell a=3.6544 b=3.6544 c=27.5127 alpha=90.00 beta=90.00 gamma=120.00
Closest atoms and distances in Å follow each position.
Space group P3m1 (No. 156)
Inequivalent atoms, fractional coordinates:
La 0.0000 0.0000 0.0000 x1  6 Dy 3.56-3.72, 6 La 3.65
La 0.0000 0.0000 0.3349 x1  6 Nd 3.65-3.80, 6 La 3.65
La 0.6667 0.3333 0.6706 x1  6 La 3.65, 6 Nd 3.75-3.79
Nd 0.0000 0.0000 0.5579 x1  9 Nd 3.65, 3 La 3.75
Nd 0.0000 0.0000 0.7850 x1  3 Dy 3.54, 6 Nd 3.65, 3 La 3.79
Nd 0.6667 0.3333 0.2266 x1  1 Dy 3.36, 3 La 3.65, 6 Nd 3.65
Nd 0.6667 0.3333 0.4497 x1  9 Nd 3.65, 3 La 3.80
Dy 0.6667 0.3333 0.1043 x1  1 Nd 3.36, 3 La 3.56, 6 Dy 3.65
Dy 0.6667 0.3333 0.8884 x1  3 Nd 3.54, 6 Dy 3.65, 3 La 3.72

Summary:
- D(E_F) (states/eV/f.u.) = 15.28

***

*b*
This record from Alexandria via LeMat-Bulk describes crystalline La3Nd4Dy2 at its relaxed geometry. The functional is PBE.

Unit cell a=16.0422 b=3.6798 c=10.9921 alpha=90.00 beta=103.83 gamma=90.00
Closest atoms and distances in Å follow each position.
Space group C2/m (No. 12)
Inequivalent atoms, fractional coordinates:
La 0.0000 0.0000 0.0000 x2  6 Nd 3.64-3.69, 4 Dy 3.66, 2 La 3.68
La 0.1681 0.5000 0.5553 x4  3 Dy 3.65-3.67, 4 La 3.65-3.68, 5 Nd 3.68-3.72
Nd 0.0006 0.0000 0.3311 x4  5 La 3.64-3.72, 5 Nd 3.66-3.72, 2 Dy 3.67
Nd 0.1676 0.5000 0.8896 x4  6 Nd 3.63-3.68, 3 Dy 3.65-3.67, 3 La 3.68-3.69
Dy 0.1669 0.5000 0.2215 x4  5 La 3.65-3.67, 5 Nd 3.65-3.67, 2 Dy 3.68

Summary:
- D(E_F) (states/eV/f.u.) = 14.11

***

What should be chosen as the least stable of them? Choose *a*.

***

*a*
This record from Alexandria via LeMat-Bulk describes crystalline LaNd4Dy2 at its relaxed geometry. The functional is PBE.

Unit cell a=6.2078 b=6.7256 c=11.8779 alpha=90.00 beta=104.51 gamma=90.00
Closest atoms and distances in Å follow each position.
Space group P2_1/m (No. 11)
Inequivalent atoms, fractional coordinates:
La 0.0145 0.2500 0.3521 x2  6 Nd 3.46-3.52, 2 Dy 3.50-3.61
Nd 0.1532 0.2500 0.6533 x2  3 Dy 3.41-3.64, 3 La 3.46-3.52, 2 Nd 3.48
Nd 0.2913 0.7500 0.9386 x2  4 Dy 3.39-3.48, 1 La 3.50, 4 Nd 3.57-3.59
Nd 0.3586 0.5017 0.2125 x4  5 Nd 3.34-3.59, 1 La 3.46, 3 Dy 3.60-3.72
Dy 0.1471 0.2500 0.9398 x2  9 Nd 3.39-3.62
Dy 0.4033 0.7500 0.4971 x2  6 Nd 3.47-3.79, 2 La 3.50-3.61, 2 Dy 3.57

Summary:
- D(E_F) (states/eV/f.u.) = 10.63

***

*b*
This record from Alexandria via LeMat-Bulk describes crystalline LaNd4Dy2 at its relaxed geometry. The functional is PBE.

Unit cell a=6.6573 b=8.6209 c=9.0328 alpha=88.20 beta=82.64 gamma=71.07
Closest atoms and distances in Å follow each position.
Space group P1 (No. 1)
Inequivalent atoms, fractional coordinates:
La 0.0000 0.0000 0.0000 x1  8 Nd 3.53-3.83, 3 Dy 3.63-3.78, 1 La 3.71
La 0.4052 0.2057 0.8843 x1  3 Dy 3.45-3.56, 6 Nd 3.51-3.86, 1 La 3.71
Nd 0.0201 0.5614 0.0509 x1  2 Dy 3.33-3.66, 5 Nd 3.37-3.68, 1 La 3.53
Nd 0.1365 0.2161 0.2906 x1  4 Dy 3.45-3.84, 3 Nd 3.56-3.78, 2 La 3.63-3.86
Nd 0.1784 0.7599 0.3400 x1  4 Nd 3.34-3.71, 5 Dy 3.35-3.61
Nd 0.4098 0.6367 0.8122 x1  3 Dy 3.35-3.57, 5 Nd 3.37-3.71, 1 La 3.71
Nd 0.5850 0.4056 0.1467 x1  2 La 3.51-3.83, 3 Dy 3.54-3.79, 7 Nd 3.57-3.91
Nd 0.7023 0.0544 0.3871 x1  4 Nd 3.34-3.69, 4 Dy 3.37-3.67
Nd 0.8630 0.7982 0.7140 x1  4 Dy 3.45-3.79, 1 La 3.53, 5 Nd 3.67-3.71
Nd 0.8742 0.3314 0.7121 x1  1 Nd 3.38, 3 Dy 3.45-3.59, 2 La 3.76-3.77
Dy 0.2996 0.9813 0.6124 x1  6 Nd 3.35-3.74, 1 La 3.45, 1 Dy 3.69
Dy 0.3355 0.4099 0.5368 x1  6 Nd 3.38-3.69, 1 La 3.56, 1 Dy 3.64
Dy 0.5441 0.8524 0.0948 x1  4 Nd 3.33-3.65, 3 La 3.46-3.65, 1 Dy 3.61
Dy 0.7161 0.6260 0.4236 x1  9 Nd 3.45-3.84, 3 Dy 3.61-3.69

Summary:
- D(E_F) (states/eV/f.u.) = 10.69

***

What should be chosen as the least stable of them? Choose *a*.

***

*a*
This record from Alexandria via LeMat-Bulk describes crystalline La5Nd4Dy2 at its relaxed geometry. The functional is PBE.

Unit cell a=9.1219 b=3.5801 c=12.0022 alpha=90.00 beta=94.52 gamma=90.00
Closest atoms and distances in Å follow each position.
Space group P2/m (No. 10)
Inequivalent atoms, fractional coordinates:
La 0.0000 0.0000 0.0000 x1  6 La 3.51-3.58, 4 Nd 3.75
La 0.0683 0.0000 0.2920 x2  1 Dy 3.46, 4 La 3.51-3.61, 4 Nd 3.73-3.80
La 0.3046 0.0000 0.8329 x2  1 Dy 3.44, 4 La 3.55-3.61, 4 Nd 3.70-3.77
Nd 0.2175 0.5000 0.5492 x2  2 Nd 3.58, 4 Dy 3.61-3.65, 6 La 3.73-3.87
Nd 0.3425 0.5000 0.1101 x2  2 Nd 3.58, 2 Dy 3.60, 8 La 3.70-3.88
Dy 0.4429 0.0000 0.3651 x2  3 Dy 3.32-3.58, 2 La 3.44-3.46, 6 Nd 3.60-3.65

Summary:
- D(E_F) (states/eV/f.u.) = 18.34

***

*b*
This record from Alexandria via LeMat-Bulk describes crystalline La5Nd4Dy2 at its relaxed geometry. The functional is PBE.

Unit cell a=24.6813 b=3.6103 c=8.9052 alpha=90.00 beta=94.53 gamma=90.00
Closest atoms and distances in Å follow each position.
Space group C2/m (No. 12)
Inequivalent atoms, fractional coordinates:
La 0.0000 0.0000 0.0000 x2  2 Dy 3.58, 6 La 3.61-3.71, 4 Nd 3.65
La 0.1314 0.5000 0.0481 x4  4 Nd 3.59-3.67, 5 La 3.61-3.91, 2 Dy 3.71
La 0.1826 0.5000 0.4751 x4  5 La 3.61-3.91, 4 Nd 3.62-3.69, 2 Dy 3.67
Nd 0.0397 0.5000 0.3473 x4  3 Nd 3.48-3.61, 4 Dy 3.60-3.70, 4 La 3.62-3.65
Nd 0.2267 0.0000 0.8253 x4  1 Dy 3.56, 6 La 3.59-3.69, 4 Nd 3.61-3.70
Dy 0.0866 0.0000 0.6960 x4  5 Nd 3.56-3.70, 5 La 3.58-3.71, 2 Dy 3.61

Summary:
- D(E_F) (states/eV/f.u.) = 17.73

***

What should be chosen as the least stable of them? Choose *b*.

***

*a*
This record from Alexandria via LeMat-Bulk describes crystalline LaNd3Dy at its relaxed geometry. The functional is PBE.

Unit cell a=17.7497 b=6.8997 c=6.1115 alpha=90.00 beta=110.06 gamma=90.00
Closest atoms and distances in Å follow each position.
Space group C2/m (No. 12)
Inequivalent atoms, fractional coordinates:
La 0.0000 0.0000 0.0000 x2  2 La 3.06
La 0.0000 0.0000 0.5000 x2  2 La 3.06
Nd 0.1531 0.2671 0.4029 x8  2 Nd 3.21-3.24, 2 La 3.50
Nd 0.2273 0.0000 0.9766 x4  6 Nd 3.53-3.78, 1 Dy 3.71
Dy 0.0503 0.5000 0.8002 x4  2 Dy 3.48-3.49, 7 Nd 3.71-3.86, 4 La 3.86-3.87

Summary:
- D(E_F) (states/eV/f.u.) = 8.09

***

*b*
This record from Alexandria via LeMat-Bulk describes crystalline LaNd3Dy at its relaxed geometry. The functional is PBE.

Unit cell a=6.2484 b=6.2484 c=34.0308 alpha=90.00 beta=90.00 gamma=120.00
Closest atoms and distances in Å follow each position.
Space group R-3 (No. 148, hexagonal axes)
Inequivalent atoms, fractional coordinates:
La 0.0000 0.0000 0.1658 x6  6 Nd 3.53-3.61, 3 La 3.61
Nd 0.0024 0.3305 0.0815 x18  2 Dy 3.44-3.51, 2 La 3.53-3.61, 6 Nd 3.56-3.65
Dy 0.0000 0.0000 0.3343 x6  6 Nd 3.44-3.51, 3 Dy 3.61

Summary:
- D(E_F) (states/eV/f.u.) = 8.18

***

What should be chosen as the least stable of them? Choose *b*.